Entry 1:
Here is a geometry-optimized K2NaSn2Se4 structure from the Alexandria database. Energies are from PBE-GGA.

```
data_K2NaSn2Se4
_cell_length_a 14.7156
_cell_length_b 5.4092
_cell_length_c 7.1938
_cell_angle_alpha 90.00
_cell_angle_beta 98.92
_cell_angle_gamma 90.00
_symmetry_space_group_name_H-M 'C 1 2/m 1'
_symmetry_Int_Tables_number 12
loop_
_symmetry_equiv_pos_as_xyz
'x,y,z'
'-x,-y,-z'
'-x,y,-z'
'x,-y,z'
'x+1/2,y+1/2,z'
'-x+1/2,-y+1/2,-z'
'-x+1/2,y+1/2,-z'
'x+1/2,-y+1/2,z'
loop_
_atom_site_label
_atom_site_fract_x
_atom_site_fract_y
_atom_site_fract_z
K1 0.1381 0.0000 0.0987
Na1 0.0000 0.0000 0.5000
Sn1 0.1457 0.5000 0.5768
Se1 0.0279 0.5000 0.2548
Se2 0.1929 0.0000 0.6637
```

Summary:
- Formation energy from raw total energies: -0.781 eV/atom
- Mass density: 3.8 g/cm3

=====

Entry 2:
Here is a geometry-optimized Nb2TlPN structure from the Alexandria database. Energies are from PBE-GGA.

```
data_Nb2TlPN
_cell_length_a 4.2759
_cell_length_b 4.2759
_cell_length_c 4.5829
_cell_angle_alpha 90.00
_cell_angle_beta 90.00
_cell_angle_gamma 90.00
_symmetry_space_group_name_H-M 'P 4/m m m'
_symmetry_Int_Tables_number 123
_symmetry_space_group_name_Hall '-P 4 2'
loop_
_atom_site_label
_atom_site_fract_x
_atom_site_fract_y
_atom_site_fract_z
Nb1 0.0000 0.5000 0.0000
Tl1 0.0000 0.0000 0.5000
P1 0.5000 0.5000 0.5000
N1 0.5000 0.5000 0.0000
```

Summary:
- Formation energy from raw total energies: 0.228 eV/atom
- Mass density: 8.6 g/cm3

=====

Entry 3:
Here is a geometry-optimized Tc2BrO8 structure from the Alexandria database. Energies are from PBE-GGA.

```
data_Tc2BrO8
_cell_length_a 12.6209
_cell_length_b 6.7640
_cell_length_c 6.2842
_cell_angle_alpha 90.00
_cell_angle_beta 113.66
_cell_angle_gamma 90.00
_symmetry_space_group_name_H-M 'C 1 2/m 1'
_symmetry_Int_Tables_number 12
loop_
_symmetry_equiv_pos_as_xyz
'x,y,z'
'-x,-y,-z'
'-x,y,-z'
'x,-y,z'
'x+1/2,y+1/2,z'
'-x+1/2,-y+1/2,-z'
'-x+1/2,y+1/2,-z'
'x+1/2,-y+1/2,z'
loop_
_atom_site_label
_atom_site_fract_x
_atom_site_fract_y
_atom_site_fract_z
Tc1 0.1966 0.0000 0.2387
Br1 0.0000 0.0000 0.5000
O1 0.1441 0.2065 0.0708
O2 0.1520 0.0000 0.4896
O3 0.1553 0.5000 0.6472
```

Summary:
- Formation energy from raw total energies: -0.918 eV/atom
- Mass density: 2.7 g/cm3

=====

Entry 4:
Here is a geometry-optimized SbH2I structure from the Alexandria database. Energies are from PBE-GGA.

```
data_SbH2I
_cell_length_a 4.3980
_cell_length_b 4.5944
_cell_length_c 11.1798
_cell_angle_alpha 85.02
_cell_angle_beta 89.38
_cell_angle_gamma 89.46
_symmetry_space_group_name_H-M 'P 1'
_symmetry_Int_Tables_number 1
loop_
_symmetry_equiv_pos_as_xyz
'x,y,z'
loop_
_atom_site_label
_atom_site_fract_x
_atom_site_fract_y
_atom_site_fract_z
Sb1 0.0000 0.0000 0.0000
Sb2 0.4935 0.4298 0.9940
H1 0.4851 0.4382 0.5733
H2 0.5070 0.5621 0.5255
H3 0.9736 0.9808 0.4212
H4 0.9968 0.8555 0.4683
I1 0.4861 0.4230 0.2421
I2 0.9966 0.9992 0.7522
```

Summary:
- Energy relative to the lowest polymorph listed for this composition: 0 meV per atom
- Mass density: 3.7 g/cm3

=====

Entry 5:
Here is a geometry-optimized Rb3Tb2InTe6 structure from the Alexandria database. Energies are from PBE-GGA.

```
data_Rb3Tb2InTe6
_cell_length_a 7.8452
_cell_length_b 13.5825
_cell_length_c 8.9554
_cell_angle_alpha 90.00
_cell_angle_beta 107.01
_cell_angle_gamma 90.00
_symmetry_space_group_name_H-M 'C 1 2/m 1'
_symmetry_Int_Tables_number 12
loop_
_symmetry_equiv_pos_as_xyz
'x,y,z'
'-x,-y,-z'
'-x,y,-z'
'x,-y,z'
'x+1/2,y+1/2,z'
'-x+1/2,-y+1/2,-z'
'-x+1/2,y+1/2,-z'
'x+1/2,-y+1/2,z'
loop_
_atom_site_label
_atom_site_fract_x
_atom_site_fract_y
_atom_site_fract_z
Rb1 0.0000 0.0000 0.0000
Rb2 0.0000 0.3312 0.0000
Tb1 0.0000 0.1662 0.5000
In1 0.0000 0.5000 0.5000
Te1 0.2288 0.3365 0.6966
Te2 0.2388 0.0000 0.6980
```

Summary:
- Formation energy from raw total energies: -1.103 eV/atom
- Mass density: 5.3 g/cm3

=====

Entry 6:
Here is a geometry-optimized HgB3Pd structure from the Alexandria database. Energies are from PBE-GGA.

```
data_HgB3Pd
_cell_length_a 4.3008
_cell_length_b 4.3008
_cell_length_c 4.3008
_cell_angle_alpha 90.00
_cell_angle_beta 90.00
_cell_angle_gamma 90.00
_symmetry_space_group_name_H-M 'P m -3 m'
_symmetry_Int_Tables_number 221
_symmetry_space_group_name_Hall '-P 4 2 3'
loop_
_atom_site_label
_atom_site_fract_x
_atom_site_fract_y
_atom_site_fract_z
Hg1 0.0000 0.0000 0.0000
B1 0.0000 0.0000 0.5000
Pd1 0.5000 0.5000 0.5000
```

Summary:
- ΔH_f (0 K): 2.322 eV per atom
- Energy relative to the lowest polymorph listed for this composition: 927 meV per atom
- Mass density: 7.1 g/cm3

=====

Entry 7:
Here is a geometry-optimized Gd2ZrSc structure from the Alexandria database. Energies are from PBE-GGA.

```
data_Gd2ZrSc
_cell_length_a 3.3811
_cell_length_b 3.3811
_cell_length_c 9.6189
_cell_angle_alpha 90.00
_cell_angle_beta 90.00
_cell_angle_gamma 90.00
_symmetry_space_group_name_H-M 'P 4/m m m'
_symmetry_Int_Tables_number 123
_symmetry_space_group_name_Hall '-P 4 2'
loop_
_atom_site_label
_atom_site_fract_x
_atom_site_fract_y
_atom_site_fract_z
Gd1 0.0000 0.0000 0.2424
Zr1 0.5000 0.5000 0.0000
Sc1 0.5000 0.5000 0.5000
```

Summary:
- ΔH_f (0 K): 0.099 eV per atom
- Energy relative to the lowest polymorph listed for this composition: 4 meV per atom
- Mass density: 6.8 g/cm3

=====

Entry 8:
Here is a geometry-optimized Ca3HoPb2S structure from the Alexandria database. Energies are from PBE-GGA.

```
data_Ca3HoPb2S
_cell_length_a 5.1670
_cell_length_b 5.2297
_cell_length_c 16.3774
_cell_angle_alpha 90.00
_cell_angle_beta 90.00
_cell_angle_gamma 90.00
_symmetry_space_group_name_H-M 'I m m m'
_symmetry_Int_Tables_number 71
_symmetry_space_group_name_Hall '-I 2 2'
loop_
_atom_site_label
_atom_site_fract_x
_atom_site_fract_y
_atom_site_fract_z
Ca1 0.0000 0.0000 0.0000
Ca2 0.0000 0.5000 0.3244
Ho1 0.0000 0.0000 0.5000
Pb1 0.0000 0.5000 0.1280
S1 0.0000 0.5000 0.5000
```

Summary:
- Formation energy from raw total energies: -0.877 eV/atom
- Mass density: 5.5 g/cm3

=====

Entry 9:
Here is a geometry-optimized Y3ErBi2 structure from the Alexandria database. Energies are from PBE-GGA.

```
data_Y3ErBi2
_cell_length_a 17.0908
_cell_length_b 4.3637
_cell_length_c 12.1175
_cell_angle_alpha 90.00
_cell_angle_beta 117.71
_cell_angle_gamma 90.00
_symmetry_space_group_name_H-M 'C 1 2/m 1'
_symmetry_Int_Tables_number 12
loop_
_symmetry_equiv_pos_as_xyz
'x,y,z'
'-x,-y,-z'
'-x,y,-z'
'x,-y,z'
'x+1/2,y+1/2,z'
'-x+1/2,-y+1/2,-z'
'-x+1/2,y+1/2,-z'
'x+1/2,-y+1/2,z'
loop_
_atom_site_label
_atom_site_fract_x
_atom_site_fract_y
_atom_site_fract_z
Y1 0.0569 0.0000 0.2219
Y2 0.1151 0.5000 0.0207
Y3 0.2411 0.0000 0.6455
Er1 0.0810 0.5000 0.6738
Bi1 0.1199 0.5000 0.4483
Bi2 0.1627 0.0000 0.8638
```

Summary:
- ΔH_f (0 K): -0.391 eV per atom
- Energy relative to the lowest polymorph listed for this composition: 233 meV per atom
- Mass density: 7.1 g/cm3

=====

Entry 10:
Here is a geometry-optimized RhS2BrCl structure from the Alexandria database. Energies are from PBE-GGA.

```
data_RhS2BrCl
_cell_length_a 4.8799
_cell_length_b 4.8799
_cell_length_c 5.0102
_cell_angle_alpha 90.00
_cell_angle_beta 90.00
_cell_angle_gamma 90.00
_symmetry_space_group_name_H-M 'P 4/m m m'
_symmetry_Int_Tables_number 123
_symmetry_space_group_name_Hall '-P 4 2'
loop_
_atom_site_label
_atom_site_fract_x
_atom_site_fract_y
_atom_site_fract_z
Rh1 0.0000 0.0000 0.0000
S1 0.0000 0.5000 0.5000
Br1 0.5000 0.5000 0.5000
Cl1 0.5000 0.5000 0.0000
```

Summary:
- Energy relative to the lowest polymorph listed for this composition: 976 meV per atom
- Formation energy from raw total energies: 1.333 eV/atom
- Mass density: 3.9 g/cm3

=====

Entry 11:
Here is a geometry-optimized Pm7P5Cl structure from the Alexandria database. Energies are from PBE-GGA.

```
data_Pm7P5Cl
_cell_length_a 13.6389
_cell_length_b 4.0989
_cell_length_c 25.0133
_cell_angle_alpha 90.00
_cell_angle_beta 90.63
_cell_angle_gamma 90.00
_symmetry_space_group_name_H-M 'C 1 2/m 1'
_symmetry_Int_Tables_number 12
loop_
_symmetry_equiv_pos_as_xyz
'x,y,z'
'-x,-y,-z'
'-x,y,-z'
'x,-y,z'
'x+1/2,y+1/2,z'
'-x+1/2,-y+1/2,-z'
'-x+1/2,y+1/2,-z'
'x+1/2,-y+1/2,z'
loop_
_atom_site_label
_atom_site_fract_x
_atom_site_fract_y
_atom_site_fract_z
Pm1 0.0297 0.0000 0.2498
Pm2 0.0853 0.5000 0.3981
Pm3 0.0909 0.5000 0.1009
Pm4 0.1363 0.0000 0.9654
Pm5 0.1369 0.0000 0.5347
Pm6 0.1709 0.5000 0.8311
Pm7 0.1811 0.5000 0.6704
P1 0.0000 0.5000 0.0000
P2 0.0000 0.5000 0.5000
P3 0.0425 0.0000 0.8575
P4 0.0478 0.0000 0.6431
P5 0.2259 0.0000 0.4283
P6 0.2281 0.0000 0.0715
Cl1 0.1716 0.5000 0.2914
```

Summary:
- Formation energy from raw total energies: -1.410 eV/atom
- Mass density: 5.7 g/cm3

=====

Entry 12:
Here is a geometry-optimized AcPrNd2Y2 structure from the Alexandria database. Energies are from PBE-GGA.

```
data_AcPrNd2Y2
_cell_length_a 7.2374
_cell_length_b 10.1436
_cell_length_c 5.8514
_cell_angle_alpha 90.00
_cell_angle_beta 90.00
_cell_angle_gamma 90.00
_symmetry_space_group_name_H-M 'P n n m'
_symmetry_Int_Tables_number 58
loop_
_symmetry_equiv_pos_as_xyz
'x,y,z'
'-x,-y,-z'
'-x,-y,z'
'x,y,-z'
'x+1/2,-y+1/2,-z+1/2'
'-x+1/2,y+1/2,z+1/2'
'-x+1/2,y+1/2,-z+1/2'
'x+1/2,-y+1/2,z+1/2'
loop_
_atom_site_label
_atom_site_fract_x
_atom_site_fract_y
_atom_site_fract_z
Ac1 0.0000 0.0000 0.0000
Pr1 0.0000 0.5000 0.5000
Nd1 0.2474 0.3336 0.0000
Y1 0.2505 0.1670 0.5000
```

Summary:
- ΔH_f (0 K): 0.064 eV per atom
- Mass density: 6.4 g/cm3